NbAl3H after structural relaxation. Source: the Alexandria database, functional PBE.

Summary:
The value obtained for the energy above the most stable polymorph in this dataset is 0.000 kcal/mol of atoms. For the volume, the calculation gives 13.117 Å³ per atom.

CIF file:
```
data_NbAl3H
_chemical_formula_sum 'Nb1 Al3 H1'
_symmetry_space_group_name_H-M 'P 1'
_symmetry_Int_Tables_number 1
_cell_length_a 4.033
_cell_length_b 4.033
_cell_length_c 4.033
_cell_angle_alpha 90.00
_cell_angle_beta 90.00
_cell_angle_gamma 90.00
loop_
_symmetry_equiv_pos_as_xyz
'x,y,z'
loop_
_atom_site_label
_atom_site_fract_x
_atom_site_fract_y
_atom_site_fract_z
Nb1 0.000 0.000 0.000
Al1 0.000 0.500 0.500
Al2 0.500 0.000 0.500
Al3 0.500 0.500 0.000
H1 0.500 0.500 0.500
```

NbAlH2 after structural relaxation. Source: the Alexandria database, functional PBE.

Summary:
The value obtained for the energy above the most stable polymorph in this dataset is 9.466 kcal/mol of atoms. For the volume, the calculation gives 9.714 Å³ per atom.

CIF file:
```
data_NbAlH2
_chemical_formula_sum 'Nb4 Al4 H8'
_symmetry_space_group_name_H-M 'P 1'
_symmetry_Int_Tables_number 1
_cell_length_a 5.377
_cell_length_b 5.377
_cell_length_c 5.377
_cell_angle_alpha 90.00
_cell_angle_beta 90.00
_cell_angle_gamma 90.00
loop_
_symmetry_equiv_pos_as_xyz
'x,y,z'
loop_
_atom_site_label
_atom_site_fract_x
_atom_site_fract_y
_atom_site_fract_z
Nb1 0.000 0.000 0.000
Nb2 0.000 0.500 0.500
Nb3 0.500 0.000 0.500
Nb4 0.500 0.500 0.000
Al1 0.000 0.000 0.500
Al2 0.000 0.500 0.000
Al3 0.500 0.000 0.000
Al4 0.500 0.500 0.500
H1 0.250 0.250 0.250
H2 0.250 0.250 0.750
H3 0.250 0.750 0.250
H4 0.250 0.750 0.750
H5 0.750 0.250 0.250
H6 0.750 0.250 0.750
H7 0.750 0.750 0.250
H8 0.750 0.750 0.750
```

Nb3AlH after structural relaxation. Source: the Alexandria database, functional PBE.

Summary:
For the volume, the calculation gives 14.837 Å³ per atom. For the total DFT energy (no corrections), the calculation gives -150.88 eV per cell.

CIF file:
```
data_Nb3AlH
_chemical_formula_sum 'Nb12 Al4 H4'
_symmetry_space_group_name_H-M 'P 1'
_symmetry_Int_Tables_number 1
_cell_length_a 7.546
_cell_length_b 5.334
_cell_length_c 9.389
_cell_angle_alpha 90.00
_cell_angle_beta 128.26
_cell_angle_gamma 90.00
loop_
_symmetry_equiv_pos_as_xyz
'x,y,z'
loop_
_atom_site_label
_atom_site_fract_x
_atom_site_fract_y
_atom_site_fract_z
Nb1 0.038 0.042 0.272
Nb2 0.038 0.458 0.772
Nb3 0.326 0.241 0.665
Nb4 0.326 0.259 0.165
Nb5 0.416 0.739 0.458
Nb6 0.416 0.761 0.958
Nb7 0.584 0.239 0.042
Nb8 0.584 0.261 0.542
Nb9 0.674 0.741 0.835
Nb10 0.674 0.759 0.335
Nb11 0.962 0.542 0.228
Nb12 0.962 0.958 0.728
Al1 0.162 0.737 0.580
Al2 0.162 0.763 0.080
Al3 0.838 0.237 0.920
Al4 0.838 0.263 0.420
H1 0.264 0.130 0.836
H2 0.264 0.370 0.336
H3 0.736 0.630 0.664
H4 0.736 0.870 0.164
```

Question: Which value of volume does entry 2 give?
Answer: 9.714 Å³ per atom

Question: What is the formula in the first record?
Answer: NbAl3H